The following is a PBE-GGA calculation of a relaxed TlICl3 crystal, from Alexandria via LeMat-Bulk.

```
TlICl3
1.0
9.202 0.000 0.000
0.000 8.028 0.000
-7.260 0.000 10.439
Tl I Cl
4 4 12
Cartesian
-0.772 0.940 1.877 Tl
-4.402 3.075 7.096 Tl
6.344 4.954 3.343 Tl
2.714 7.089 8.562 Tl
1.935 4.061 1.185 I
-1.695 7.981 6.404 I
3.638 0.047 4.034 I
0.008 3.967 9.254 I
-6.126 1.363 10.058 Cl
-2.496 2.651 4.839 Cl
-4.300 5.103 9.506 Cl
-0.670 6.940 4.287 Cl
-2.797 0.903 8.416 Cl
0.833 3.111 3.196 Cl
1.110 4.917 7.242 Cl
4.740 7.125 2.023 Cl
2.612 1.089 6.152 Cl
6.242 2.925 0.933 Cl
4.438 5.377 5.600 Cl
8.068 6.666 0.381 Cl
```

Properties
Excess energy over the best structure of this formula in the dataset   0.057 eV per atom
Space-group type   P2_1/c
Formation energy (no corrections)   -443 meV per atom
Magnetic moment   0.0 μB per formula unit
Crystal system   monoclinic